Material: Ta2Be2Ir
Method: DFT, PBE
State: relaxed

## Properties
The calculation puts the total magnetic moment at 0.0 Bohr magnetons per cell. The crystal system is tetragonal. The calculation puts the total energy at -85.3 eV/cell.

```
data_Ta2Be2Ir
_chemical_formula_sum 'Ta4 Be4 Ir2'
_cell_length_a 6.1084
_cell_length_b 6.1084
_cell_length_c 3.5130
_cell_angle_alpha 90.00
_cell_angle_beta 90.00
_cell_angle_gamma 90.00
_space_group_name_H-M_alt 'P 4/m b m'
_space_group_IT_number 127
_space_group_name_Hall '-P 4 2ab'
loop_
_atom_site_label
_atom_site_fract_x
_atom_site_fract_y
_atom_site_fract_z
Ta1 0.1726 0.3274 0.0000
Be1 0.1238 0.6238 0.5000
Ir1 0.0000 0.0000 0.5000
```